! GGA-PBE ZrNb3Ir6, relaxed; values from VASP
! ΔE_f = -0.583 eV per atom
! size of the total moment = 0.00 μB/cell
! DFT total energy = -0.7185 Ry/atom
&SYSTEM
  ibrav = 0, nat = 20, ntyp = 3
/
ATOMIC_SPECIES
Nb 92.91 Nb.upf
Zr 91.22 Zr.upf
Ir 192.22 Ir.upf
ATOMIC_POSITIONS crystal
Nb 0.250 0.750 0.985
Zr 0.250 0.944 0.618
Ir 0.750 0.752 0.507
Nb 0.250 0.557 0.407
Ir 0.250 0.849 0.293
Ir 0.250 0.055 0.908
Nb 0.750 0.443 0.593
Nb 0.750 0.652 0.207
Ir 0.750 0.844 0.807
Zr 0.750 0.056 0.382
Nb 0.250 0.348 0.793
Ir 0.250 0.248 0.493
Ir 0.750 0.151 0.707
Nb 0.750 0.250 0.015
Ir 0.250 0.156 0.193
Ir 0.750 0.945 0.092
Ir 0.750 0.357 0.297
Ir 0.750 0.547 0.900
Ir 0.250 0.643 0.703
Ir 0.250 0.453 0.100
CELL_PARAMETERS angstrom
-1.180 3.841 -0.267
-6.639 -1.656 5.535
5.499 2.170 6.914


! GGA-PBE Mg4Sn2Bi, relaxed; values from VASP
! ΔE_f = -0.087 eV per atom
! size of the total moment = 0.00 μB/cell
! DFT total energy = -0.1982 Ry/atom
&SYSTEM
  ibrav = 0, nat = 14, ntyp = 3
/
ATOMIC_SPECIES
Mg 24.30 Mg.upf
Sn 118.71 Sn.upf
Bi 208.98 Bi.upf
ATOMIC_POSITIONS crystal
Mg 0.385 0.132 0.419
Sn 0.496 0.876 0.121
Mg 0.034 0.614 0.747
Sn 0.126 0.246 0.621
Mg 0.713 0.966 0.580
Bi 0.000 0.999 0.000
Sn 0.754 0.376 0.881
Mg 0.216 0.463 0.080
Bi 0.249 0.750 0.500
Mg 0.864 0.785 0.247
Mg 0.868 0.287 0.252
Mg 0.537 0.618 0.752
Mg 0.382 0.135 0.920
Sn 0.626 0.504 0.380
CELL_PARAMETERS angstrom
7.334 0.473 -2.396
-3.756 6.319 -2.398
-0.265 -0.503 7.724


! GGA-PBE LiPdIN2, relaxed; values from VASP
! size of the total moment = 2.89 μB/cell
! DFT total energy = -0.3073 Ry/atom
&SYSTEM
  ibrav = 0, nat = 5, ntyp = 4
/
ATOMIC_SPECIES
N 14.01 N.upf
I 126.90 I.upf
Li 6.94 Li.upf
Pd 106.42 Pd.upf
ATOMIC_POSITIONS crystal
N 0.500 0.000 0.000
I 0.000 0.000 0.500
Li 0.500 0.500 0.500
Pd 0.000 0.000 0.000
N 0.000 0.500 0.000
CELL_PARAMETERS angstrom
-1.561 1.812 -3.101
-3.202 -2.234 0.307
-3.285 5.368 4.791